1.
The following is a PBE-GGA calculation of crystalline SrAl4 at its relaxed geometry, from Alexandria via LeMat-Bulk.

Unit cell a=5.898 b=5.898 c=5.898 alpha=90.00 beta=90.00 gamma=90.00
Atoms (fractional coordinates):
1 Sr 0.500 0.500 0.500
2 Al 0.000 0.500 0.500
3 Al 0.500 0.000 0.500
4 Al 0.500 0.500 0.000
5 Al 0.000 0.000 0.000

Summary:
density of states at the Fermi level	6.23	states/eV per cell
ΔE_f	1.479	eV/atom
mass density	1.58	Mg/m³
V	41.0	A^3/atom



2.
The following is a PBE-GGA calculation of crystalline BaCo2Si at its relaxed geometry, from Alexandria via LeMat-Bulk.

Unit cell a=3.062 b=3.062 c=7.284 alpha=90.00 beta=90.00 gamma=90.00
Last column: magnetic moment on the atom in μB.
Atoms (fractional coordinates):
1 Co 0.000 0.000 0.411  0.78
2 Si 0.500 0.500 0.250  -0.03
3 Co 0.000 0.000 0.089  0.78
4 Ba 0.500 0.500 0.750  -0.06

Summary:
density of states at the Fermi level	5.70	states/eV per cell
energy relative to the elements, uncorrected	286	meV per atom
mass density	6.89	Mg/m³
V	17.1	A^3/atom



3.
The following is a PBE-GGA calculation of crystalline RbCu2Se2 at its relaxed geometry, from Alexandria via LeMat-Bulk.

Unit cell a=3.886 b=3.886 c=7.739 alpha=90.00 beta=90.00 gamma=90.00
Atoms (fractional coordinates):
1 Rb 0.000 0.000 0.000
2 Cu 0.500 0.000 0.500
3 Cu 0.000 0.500 0.500
4 Se 0.500 0.500 0.289
5 Se 0.500 0.500 0.711

Summary:
density of states at the Fermi level	3.06	states/eV per cell
energy relative to the elements, uncorrected	-416	meV per atom
mass density	5.27	Mg/m³
V	23.4	A^3/atom



4.
The following is a PBE-GGA calculation of crystalline NaNbSeN2 at its relaxed geometry, from Alexandria via LeMat-Bulk.

Unit cell a=4.120 b=4.120 c=4.977 alpha=90.00 beta=90.00 gamma=90.00
Last column: magnetic moment on the atom in μB.
Atoms (fractional coordinates):
1 N 0.500 0.000 0.000  1.33
2 Se 0.000 0.000 0.500  0.28
3 Na 0.000 0.000 0.000  0.06
4 Nb 0.500 0.500 0.500  -1.86
5 N 0.000 0.500 0.000  1.33

Summary:
density of states at the Fermi level	2.50	states/eV per cell
energy relative to the elements, uncorrected	1886	meV per atom
ΔE to the lowest computed polymorph	1.9241	eV/atom
mass density	4.38	Mg/m³
V	16.9	A^3/atom



5.
The following is a PBE-GGA calculation of crystalline LiBeHgAu at its relaxed geometry, from Alexandria via LeMat-Bulk.

Unit cell a=4.379 b=4.379 c=4.379 alpha=60.00 beta=60.00 gamma=60.00
Atoms (fractional coordinates):
1 Hg 0.500 0.500 0.500
2 Au 0.000 0.000 0.000
3 Be 0.250 0.250 0.250
4 Li 0.750 0.750 0.750

Summary:
density of states at the Fermi level	1.80	states/eV per cell
ΔE_f	-0.132	eV/atom
mass density	11.56	Mg/m³
V	14.8	A^3/atom



6.
The following is a PBE-GGA calculation of crystalline BeTcAgPt2 at its relaxed geometry, from Alexandria via LeMat-Bulk.

Unit cell a=4.748 b=5.072 c=4.748 alpha=90.00 beta=90.00 gamma=90.00
Atoms (fractional coordinates):
1 Pt 0.500 0.000 0.000
2 Pt 0.000 0.000 0.500
3 Be 0.500 0.500 0.500
4 Tc 0.000 0.000 0.000
5 Ag 0.000 0.500 0.000

Summary:
density of states at the Fermi level	6.35	states/eV per cell
ΔE to the lowest computed polymorph	1.1585	eV/atom
ΔE_f	1.601	eV/atom
mass density	8.79	Mg/m³
V	22.9	A^3/atom



7.
The following is a PBE-GGA calculation of crystalline CsBeO2 at its relaxed geometry, from Alexandria via LeMat-Bulk.

Unit cell a=6.920 b=6.920 c=6.920 alpha=32.19 beta=32.19 gamma=32.19
Last column: magnetic moment on the atom in μB.
Atoms (fractional coordinates):
1 Cs 0.500 0.500 0.500  0.05
2 O 0.927 0.927 0.927  0.39
3 Be 0.000 0.000 0.000  -0.03
4 O 0.073 0.073 0.073  0.39

Summary:
density of states at the Fermi level	5.80	states/eV per cell
energy relative to the elements, uncorrected	-1219	meV per atom
ΔE to the lowest computed polymorph	0.4167	eV/atom
mass density	3.45	Mg/m³
V	20.9	A^3/atom



8.
The following is a PBE-GGA calculation of crystalline PmY9Tm2 at its relaxed geometry, from Alexandria via LeMat-Bulk.

Unit cell a=5.042 b=5.042 c=15.135 alpha=90.00 beta=90.00 gamma=90.00
Atoms (fractional coordinates):
1 Y 0.500 0.500 0.335
2 Y 0.500 0.000 0.169
3 Y 0.000 0.500 0.169
4 Y 0.000 0.500 0.500
5 Y 0.500 0.500 0.000
6 Y 0.500 0.500 0.665
7 Tm 0.000 0.000 0.334
8 Y 0.000 0.500 0.831
9 Y 0.500 0.000 0.831
10 Tm 0.000 0.000 0.666
11 Pm 0.000 0.000 0.000
12 Y 0.500 0.000 0.500

Summary:
density of states at the Fermi level	18.03	states/eV per cell
ΔE_f	0.027	eV/atom
mass density	5.54	Mg/m³
V	32.1	A^3/atom